1.
Entry from Alexandria: a relaxed Pu2HfSb crystal (PBE).

Calculated values
Density of states at the Fermi level, states/eV/cell: 9.01
Formation energy (no corrections), meV/atom: -287
M_tot, μB per formula unit: 11.02

CIF file:
```
data_Pu2HfSb
_cell_length_a 4.4603
_cell_length_b 4.4603
_cell_length_c 4.7599
_cell_angle_alpha 90.00
_cell_angle_beta 90.00
_cell_angle_gamma 90.00
_space_group_name_H-M_alt 'P 4/m m m'
_space_group_IT_number 123
_space_group_name_Hall '-P 4 2'
loop_
_atom_site_label
_atom_site_fract_x
_atom_site_fract_y
_atom_site_fract_z
_atom_site_occupancy
Pu1 0.0000 0.5000 0.0000 1
Hf1 0.0000 0.0000 0.5000 1
Sb1 0.5000 0.5000 0.5000 1
```

---

2.
Entry from Alexandria: a relaxed PuHfSb crystal (PBE).

Calculated values
Density of states at the Fermi level, states/eV/cell: 22.19
Formation energy (no corrections), meV/atom: -431
M_tot, μB per formula unit: 5.82

CIF file:
```
data_PuHfSb
_cell_length_a 4.3458
_cell_length_b 4.3608
_cell_length_c 8.1883
_cell_angle_alpha 90.00
_cell_angle_beta 90.00
_cell_angle_gamma 90.00
_space_group_name_H-M_alt 'P m m n'
_space_group_IT_number 59
loop_
_space_group_symop_operation_xyz
'x,y,z'
'-x,-y,-z'
'-x+1/2,-y+1/2,z'
'x+1/2,y+1/2,-z'
'x+1/2,-y,-z'
'-x+1/2,y,z'
'-x,y+1/2,-z'
'x,-y+1/2,z'
loop_
_atom_site_label
_atom_site_fract_x
_atom_site_fract_y
_atom_site_fract_z
_atom_site_occupancy
Pu1 0.2500 0.2500 0.1536 1
Hf1 0.2500 0.7500 0.5004 1
Sb1 0.2500 0.2500 0.7577 1
```

---

3.
Entry from Alexandria: a relaxed Pu3HfSb4 crystal (PBE).

Calculated values
Density of states at the Fermi level, states/eV/cell: 72.02
Formation energy (no corrections), meV/atom: -572
M_tot, μB per formula unit: 15.90

CIF file:
```
data_Pu3HfSb4
_cell_length_a 8.7305
_cell_length_b 12.2729
_cell_length_c 4.3297
_cell_angle_alpha 90.00
_cell_angle_beta 90.00
_cell_angle_gamma 90.00
_space_group_name_H-M_alt 'C m m m'
_space_group_IT_number 65
_space_group_name_Hall '-C 2 2'
loop_
_atom_site_label
_atom_site_fract_x
_atom_site_fract_y
_atom_site_fract_z
_atom_site_occupancy
Pu1 0.0000 0.0000 0.0000 1
Pu2 0.2500 0.2500 0.5000 1
Hf1 0.0000 0.5000 0.0000 1
Sb1 0.0000 0.2587 0.0000 1
Sb2 0.2344 0.5000 0.5000 1
```

---

4.
Entry from Alexandria: a relaxed PuHfSb3 crystal (PBE).

Calculated values
Density of states at the Fermi level, states/eV/cell: 58.32
Formation energy (no corrections), meV/atom: -483
M_tot, μB per formula unit: 5.44

CIF file:
```
data_PuHfSb3
_cell_length_a 13.2012
_cell_length_b 6.2705
_cell_length_c 6.3702
_cell_angle_alpha 90.00
_cell_angle_beta 90.00
_cell_angle_gamma 90.00
_space_group_name_H-M_alt 'P b c m'
_space_group_IT_number 57
_space_group_name_Hall '-P 2c 2b'
loop_
_atom_site_label
_atom_site_fract_x
_atom_site_fract_y
_atom_site_fract_z
_atom_site_occupancy
Pu1 0.1802 0.0099 0.2500 1
Hf1 0.4052 0.7500 0.0000 1
Sb1 0.0028 0.7500 0.0000 1
Sb2 0.2542 0.5058 0.2500 1
Sb3 0.4178 0.1331 0.2500 1
```

---

5.
Entry from Alexandria: a relaxed Pu2HfSb4 crystal (PBE).

Calculated values
Density of states at the Fermi level, states/eV/cell: 21.65
Formation energy (no corrections), meV/atom: -397
M_tot, μB per formula unit: 11.49

CIF file:
```
data_Pu2HfSb4
_cell_length_a 4.3144
_cell_length_b 4.3144
_cell_length_c 10.7047
_cell_angle_alpha 90.00
_cell_angle_beta 90.00
_cell_angle_gamma 90.00
_space_group_name_H-M_alt 'P -4 m 2'
_space_group_IT_number 115
_space_group_name_Hall 'P -4 -2'
loop_
_atom_site_label
_atom_site_fract_x
_atom_site_fract_y
_atom_site_fract_z
_atom_site_occupancy
Pu1 0.0000 0.5000 0.2275 1
Hf1 0.0000 0.0000 0.5000 1
Sb1 0.0000 0.0000 0.0000 1
Sb2 0.0000 0.5000 0.6736 1
Sb3 0.5000 0.5000 0.0000 1
```

---

6.
Entry from Alexandria: a relaxed PuHfSb2 crystal (PBE).

Calculated values
Density of states at the Fermi level, states/eV/cell: 8.76
Energy above the most stable polymorph in this dataset, kJ/mol of atoms: 10.6
Formation energy (no corrections), meV/atom: -446
M_tot, μB per formula unit: 6.10

CIF file:
```
data_PuHfSb2
_cell_length_a 3.2491
_cell_length_b 3.8990
_cell_length_c 7.8324
_cell_angle_alpha 90.00
_cell_angle_beta 96.69
_cell_angle_gamma 90.00
_space_group_name_H-M_alt 'P 1 2/m 1'
_space_group_IT_number 10
_space_group_name_Hall '-P 2y'
loop_
_atom_site_label
_atom_site_fract_x
_atom_site_fract_y
_atom_site_fract_z
_atom_site_occupancy
Pu1 0.0000 0.0000 0.0000 1
Hf1 0.0000 0.0000 0.5000 1
Sb1 0.4685 0.5000 0.7324 1
```

---

7.
Entry from Alexandria: a relaxed PuHfSb2 crystal (PBE).

Calculated values
Density of states at the Fermi level, states/eV/cell: 33.44
Energy above the most stable polymorph in this dataset, kJ/mol of atoms: 4.0
Formation energy (no corrections), meV/atom: -514
M_tot, μB per formula unit: 5.80

CIF file:
```
data_PuHfSb2
_cell_length_a 4.1070
_cell_length_b 4.1070
_cell_length_c 22.6547
_cell_angle_alpha 90.00
_cell_angle_beta 90.00
_cell_angle_gamma 120.00
_space_group_name_H-M_alt 'R 3 m'
_space_group_IT_number 160
_space_group_name_Hall 'R 3 -2"'
loop_
_atom_site_label
_atom_site_fract_x
_atom_site_fract_y
_atom_site_fract_z
_atom_site_occupancy
Pu1 0.0000 0.0000 0.0000 1
Hf1 0.0000 0.0000 0.1698 1
Sb1 0.0000 0.0000 0.5766 1
Sb2 0.0000 0.0000 0.7601 1
```

---

8.
Entry from Alexandria: a relaxed PuHfSb2 crystal (PBE).

Calculated values
Density of states at the Fermi level, states/eV/cell: 39.70
Energy above the most stable polymorph in this dataset, kJ/mol of atoms: 0.0
Formation energy (no corrections), meV/atom: -556
M_tot, μB per formula unit: 5.54

CIF file:
```
data_PuHfSb2
_cell_length_a 4.2370
_cell_length_b 4.2370
_cell_length_c 21.1454
_cell_angle_alpha 90.00
_cell_angle_beta 90.00
_cell_angle_gamma 120.00
_space_group_name_H-M_alt 'R -3 m'
_space_group_IT_number 166
_space_group_name_Hall '-R 3 2"'
loop_
_atom_site_label
_atom_site_fract_x
_atom_site_fract_y
_atom_site_fract_z
_atom_site_occupancy
Pu1 0.0000 0.0000 0.0000 1
Hf1 0.0000 0.0000 0.5000 1
Sb1 0.0000 0.0000 0.2432 1
```